[1]
The following is a DFT calculation (meta-GGA SCAN) of NaTe2PtN at its PBEsol-relaxed geometry.

Calculated values
VASP energy: -30.1729 eV per atom

POSCAR file:
```
NaTe2PtN
1.0
5.2746 0.0000 0.0000
0.0000 5.2746 0.0000
0.0000 0.0000 3.9329
Na Te Pt N
1 2 1 1
Cartesian
0.0000 0.0000 0.0000
0.0000 2.6373 0.0000
2.6373 0.0000 0.0000
2.6373 2.6373 1.9665
0.0000 0.0000 1.9665
```

---

[2]
The following is a DFT calculation (meta-GGA SCAN) of NbP2OsCl at its PBEsol-relaxed geometry.

Calculated values
Excess energy over the best structure of this formula in the dataset: 1042 meV/atom
VASP energy: -24.8797 eV per atom

POSCAR file:
```
NbP2OsCl
1.0
4.3625 0.0000 0.0000
0.0000 4.3625 0.0000
0.0000 0.0000 4.3894
Nb P Os Cl
1 2 1 1
Cartesian
0.0000 0.0000 0.0000
0.0000 2.1812 2.1947
2.1812 0.0000 2.1947
2.1812 2.1812 0.0000
0.0000 0.0000 2.1947
```

---

[3]
The following is a DFT calculation (meta-GGA SCAN) of SbPbCl2 at its PBEsol-relaxed geometry.

Calculated values
Excess energy over the best structure of this formula in the dataset: 195 meV/atom
VASP energy: -32.5062 eV per atom

POSCAR file:
```
SbPbCl2
1.0
-2.2912 2.2912 4.5693
2.2912 -2.2912 4.5693
2.2912 2.2912 -4.5693
Sb Pb Cl
1 1 2
Cartesian
0.0000 0.0000 0.0000
0.0000 0.0000 4.5693
2.2912 0.0000 2.2846
0.0000 2.2912 2.2846
```

---

[4]
The following is a DFT calculation (meta-GGA SCAN) of H2Pd2Pb at its PBEsol-relaxed geometry.

Calculated values
Excess energy over the best structure of this formula in the dataset: 292 meV/atom
VASP energy: -29.3978 eV per atom

POSCAR file:
```
H2Pd2Pb
1.0
5.4797 0.0000 0.0000
0.0000 5.4797 0.0000
0.0000 0.0000 4.2307
H Pd Pb
4 4 2
Cartesian
0.2796 2.4602 0.0000
2.4602 5.2001 0.0000
3.0195 0.2796 0.0000
5.2001 3.0195 0.0000
1.0756 3.8155 2.1153
1.6642 1.0756 2.1153
3.8155 4.4041 2.1153
4.4041 1.6642 2.1153
0.0000 0.0000 0.0000
2.7399 2.7399 0.0000
```

---

[5]
The following is a DFT calculation (meta-GGA SCAN) of Sr3HfP at its PBEsol-relaxed geometry.

Calculated values
Excess energy over the best structure of this formula in the dataset: 954 meV/atom
VASP energy: -26.8743 eV per atom
Calculated formation energy: 1.105 eV/atom

POSCAR file:
```
Sr3HfP
1.0
5.6972 0.0000 0.0000
0.0000 5.6972 0.0000
0.0000 0.0000 5.6972
Sr Hf P
3 1 1
Cartesian
0.0000 0.0000 2.8486
0.0000 2.8486 0.0000
2.8486 0.0000 0.0000
0.0000 0.0000 0.0000
2.8486 2.8486 2.8486
```

---

[6]
The following is a DFT calculation (meta-GGA SCAN) of Co2ReIrS at its PBEsol-relaxed geometry.

Calculated values
VASP energy: -36.3375 eV per atom

POSCAR file:
```
Co2ReIrS
1.0
3.9888 0.0000 0.0000
0.0000 3.9888 0.0000
0.0000 0.0000 4.3968
Co Re Ir S
2 1 1 1
Cartesian
0.0000 1.9944 0.0000
1.9944 0.0000 0.0000
0.0000 0.0000 2.1984
1.9944 1.9944 2.1984
1.9944 1.9944 0.0000
```

---

[7]
The following is a DFT calculation (meta-GGA SCAN) of Na3DyTi2Nb2O12 at its PBEsol-relaxed geometry.

Calculated values
Excess energy over the best structure of this formula in the dataset: 6 meV/atom
VASP energy: -14.6621 eV per atom

POSCAR file:
```
Na3DyTi2Nb2O12
1.0
5.3833 0.0000 0.0000
0.0730 5.5214 0.0000
0.0070 0.0012 7.6989
Na Dy Ti Nb O
3 1 2 2 12
Cartesian
0.0000 0.0000 0.0000
0.1512 5.1411 3.8624
2.7201 2.6217 0.0241
2.6990 2.2332 3.8636
2.8115 5.2407 5.7517
5.3840 2.5152 1.9843
2.8080 5.2388 1.8636
5.4083 2.5687 5.8568
0.3941 2.4871 0.0426
1.2089 1.1096 2.3413
1.2326 1.0976 5.3744
1.7110 3.7174 2.3328
1.7294 3.7444 5.3889
2.3812 5.3306 7.6767
3.2000 5.5125 3.8762
3.7965 1.5256 5.9447
3.8176 1.5286 1.7838
4.3804 4.3000 6.0653
4.4107 4.2546 1.6317
4.9223 2.7775 3.8391
```

---

[8]
The following is a DFT calculation (meta-GGA SCAN) of YMo5 at its PBEsol-relaxed geometry.

Calculated values
VASP energy: -33.4556 eV per atom
Calculated formation energy: 0.256 eV/atom

POSCAR file:
```
YMo5
1.0
0.0000 3.7392 3.7392
3.7392 0.0000 3.7392
3.7392 3.7392 0.0000
Y Mo
1 5
Cartesian
0.0000 0.0000 0.0000
4.6704 2.8079 2.8079
1.8696 1.8696 1.8696
2.8079 4.6704 2.8079
2.8079 2.8079 4.6704
4.6704 4.6704 4.6704
```

---

[9]
The following is a DFT calculation (meta-GGA SCAN) of Mg2ReRh at its PBEsol-relaxed geometry.

Calculated values
Excess energy over the best structure of this formula in the dataset: 196 meV/atom
VASP energy: -28.5184 eV per atom
Calculated formation energy: 0.186 eV/atom

POSCAR file:
```
Mg2ReRh
1.0
-1.9080 1.9080 4.2374
1.9080 -1.9080 4.2374
1.9080 1.9080 -4.2374
Mg Re Rh
2 1 1
Cartesian
1.9080 0.0000 2.1187
0.0000 1.9080 2.1187
0.0000 0.0000 0.0000
0.0000 0.0000 4.2374
```

---

[10]
The following is a DFT calculation (meta-GGA SCAN) of InHg5 at its PBEsol-relaxed geometry.

Calculated values
Excess energy over the best structure of this formula in the dataset: 1 meV/atom
VASP energy: -62.3537 eV per atom
Calculated formation energy: 0.016 eV/atom

POSCAR file:
```
InHg5
1.0
5.7888 -1.6950 0.0000
5.7888 1.6950 0.0000
-2.1799 0.0000 7.2693
In Hg
1 5
Cartesian
0.0000 0.0000 0.0000
-0.7396 0.0000 4.2630
2.4210 0.0000 4.8291
3.8256 0.0000 1.8787
7.0312 0.0000 2.4505
6.2328 0.0000 6.6877
```

---

[11]
The following is a DFT calculation (meta-GGA SCAN) of TaSe at its PBEsol-relaxed geometry.

Calculated values
VASP energy: -43.9321 eV per atom

POSCAR file:
```
TaSe
1.0
1.6373 0.9453 8.8169
-1.6373 0.9453 8.8169
0.0000 -1.8906 8.8169
Ta Se
2 2
Cartesian
0.0000 0.0000 3.3194
0.0000 0.0000 23.1312
0.0000 0.0000 10.3925
0.0000 0.0000 16.0581
```

---

[12]
The following is a DFT calculation (meta-GGA SCAN) of In2CuO2 at its PBEsol-relaxed geometry.

Calculated values
VASP energy: -19.4741 eV per atom

POSCAR file:
```
In2CuO2
1.0
-2.4029 2.4029 3.3730
2.4029 -2.4029 3.3730
2.4029 2.4029 -3.3730
In Cu O
2 1 2
Cartesian
2.4029 0.0000 1.6865
0.0000 2.4029 1.6865
0.0000 0.0000 0.0000
0.0000 0.0000 1.8433
0.0000 0.0000 4.9027
```

---

D(E_F) for every record listed, in sequence, given in states/eV/f.u.: 3.09 5.27 1.85 2.43 6.30 4.06 0.00 3.55 2.97 1.17 0.52 1.97.